The following is a GGA-PBE calculation of a relaxed Ba2Sb crystal, from Alexandria.

POSCAR file:
```
Ba2Sb
1.0
-7.837 -6.520 -0.725
-1.724 -9.884 1.949
3.736 9.070 2.869
Sb Ba
2 4
Cartesian
-8.284 -14.213 1.060
-1.277 -2.191 0.163
-3.055 -5.242 0.391
-2.051 1.275 1.072
1.006 -0.407 2.409
-6.505 -11.162 0.833
```

Properties
formation energy from raw total energies	-0.857	eV per atom
uncorrected energy	-3.513	eV per atom
size of the total moment	0.0	Bohr magnetons per cell
space group	I4/mmm, No. 139
mass density	5.0	g/cm3
D(E_F)	0.630	states/eV per atom

---

The following is a GGA-PBE calculation of a relaxed Ba5Sb3 crystal, from Alexandria.

POSCAR file:
```
Ba5Sb3
1.0
-4.107 -6.950 -2.218
5.680 -7.245 2.533
-6.150 -3.742 7.313
Sb Ba
6 10
Cartesian
-3.590 -9.054 6.500
-2.145 -3.880 4.045
-2.423 -14.058 3.587
-7.137 -5.477 6.687
-0.979 -8.884 1.132
-3.112 -5.215 -1.588
-3.079 -10.679 3.375
-1.491 -7.259 4.256
1.769 -10.037 3.493
-4.561 -7.785 0.485
-0.618 -5.151 0.796
-3.951 -12.786 6.836
3.262 -5.634 2.668
-0.008 -10.153 7.147
-6.338 -7.901 4.139
-7.831 -12.304 4.964
```

Properties
formation energy from raw total energies	-0.938	eV per atom
uncorrected energy	-3.685	eV per atom
size of the total moment	1.8	Bohr magnetons per cell
energy above the most stable polymorph in this dataset	0.061	eV/atom
space group	C2/m, No. 12
mass density	4.8	g/cm3
D(E_F)	0.501	states/eV per atom

---

The following is a GGA-PBE calculation of a relaxed BaSb crystal, from Alexandria.

POSCAR file:
```
BaSb
1.0
-1.917 -4.740 0.026
0.686 -0.314 -6.665
8.646 -3.491 1.054
Ba Sb
4 4
Cartesian
2.488 -2.397 -2.186
6.634 -4.062 0.055
4.926 -6.148 -3.398
0.780 -4.484 -5.639
-0.904 -3.785 -2.426
8.318 -4.761 -3.159
3.251 -5.453 -0.272
4.163 -3.092 -5.312
```

Properties
formation energy from raw total energies	-0.837	eV per atom
uncorrected energy	-3.860	eV per atom
size of the total moment	1.2	Bohr magnetons per cell
space group	Pnma, No. 62
mass density	5.3	g/cm3
D(E_F)	0.984	states/eV per atom

---

The following is a GGA-PBE calculation of a relaxed Ba2Sb crystal, from Alexandria.

POSCAR file:
```
Ba2Sb
1.0
4.188 7.882 -3.253
-7.443 -5.897 0.296
-2.146 2.926 4.327
Ba Sb
4 2
Cartesian
-2.491 4.071 1.539
-2.910 0.841 -0.169
0.645 5.052 -1.254
-6.046 -0.141 2.624
1.370 8.645 0.361
-6.771 -3.734 1.009
```

Properties
formation energy from raw total energies	-0.732	eV per atom
uncorrected energy	-3.388	eV per atom
size of the total moment	1.9	Bohr magnetons per cell
space group	Cmcm, No. 63
mass density	5.3	g/cm3
D(E_F)	0.312	states/eV per atom